# LiYSe2, relaxed, DFT GGA-PBEsol
data_LiYSe2
_chemical_formula_sum 'Li4 Y4 Se8'
_cell_length_a 5.620
_cell_length_b 5.620
_cell_length_c 11.371
_cell_angle_alpha 90.00
_cell_angle_beta 90.00
_cell_angle_gamma 90.00
_symmetry_space_group_name_H-M 'I 41/a m d'
_symmetry_Int_Tables_number 141
loop_
_symmetry_equiv_pos_as_xyz
'x,y,z'
'-x,-y,-z'
'-y+1/4,x+3/4,z+1/4'
'y+1/4,-x+3/4,-z+1/4'
'-x+1/2,-y,z+1/2'
'x+1/2,y,-z+1/2'
'y+1/4,-x+1/4,z+3/4'
'-y+1/4,x+1/4,-z+3/4'
'x,-y,-z'
'-x,y,z'
'-y+1/4,-x+1/4,-z+3/4'
'y+1/4,x+1/4,z+3/4'
'-x+1/2,y,-z+1/2'
'x+1/2,-y,z+1/2'
'y+1/4,x+3/4,-z+1/4'
'-y+1/4,-x+3/4,z+1/4'
'x+1/2,y+1/2,z+1/2'
'-x+1/2,-y+1/2,-z+1/2'
'-y+3/4,x+1/4,z+3/4'
'y+3/4,-x+1/4,-z+3/4'
'-x,-y+1/2,z'
'x,y+1/2,-z'
'y+3/4,-x+3/4,z+1/4'
'-y+3/4,x+3/4,-z+1/4'
'x+1/2,-y+1/2,-z+1/2'
'-x+1/2,y+1/2,z+1/2'
'-y+3/4,-x+3/4,-z+1/4'
'y+3/4,x+3/4,z+1/4'
'-x,y+1/2,-z'
'x,-y+1/2,z'
'y+3/4,x+1/4,-z+3/4'
'-y+3/4,-x+1/4,z+3/4'
loop_
_atom_site_label
_atom_site_fract_x
_atom_site_fract_y
_atom_site_fract_z
_atom_site_occupancy
Li1 0.000 0.250 0.375 1
Y1 0.000 0.250 0.875 1
Se1 0.000 0.250 0.123 1
# E_form (uncorrected) ... -1.7066 eV/atom
# Raw total energy ... -5.83 eV/atom

# ZrNiP2, relaxed, DFT GGA-PBEsol
data_ZrNiP2
_chemical_formula_sum 'Zr4 Ni4 P8'
_cell_length_a 6.149
_cell_length_b 6.149
_cell_length_c 6.149
_cell_angle_alpha 90.00
_cell_angle_beta 90.00
_cell_angle_gamma 90.00
_symmetry_space_group_name_H-M 'F -4 3 m'
_symmetry_Int_Tables_number 216
_symmetry_space_group_name_Hall 'F -4 2 3'
loop_
_atom_site_label
_atom_site_fract_x
_atom_site_fract_y
_atom_site_fract_z
_atom_site_occupancy
Zr1 0.000 0.000 0.000 1
Ni1 0.250 0.250 0.250 1
P1 0.000 0.000 0.500 1
P2 0.250 0.250 0.750 1
# Energy relative to the elements ... -0.20 eV per atom
# Raw total energy ... -6.91 eV/atom

# KFeI2N, relaxed, DFT GGA-PBEsol
data_KFeI2N
_chemical_formula_sum 'K1 Fe1 I2 N1'
_cell_length_a 6.231
_cell_length_b 6.231
_cell_length_c 4.837
_cell_angle_alpha 90.00
_cell_angle_beta 90.00
_cell_angle_gamma 90.00
_symmetry_space_group_name_H-M 'P 4/m m m'
_symmetry_Int_Tables_number 123
_symmetry_space_group_name_Hall '-P 4 2'
loop_
_atom_site_label
_atom_site_fract_x
_atom_site_fract_y
_atom_site_fract_z
_atom_site_occupancy
K1 0.000 0.000 0.000 1
Fe1 0.500 0.500 0.500 1
I1 0.000 0.500 0.000 1
N1 0.000 0.000 0.500 1
# E_form (uncorrected) ... 1.4791 eV/atom
# Raw total energy ... -2.95 eV/atom